P | Here is a relaxed AcPmCuPt crystal from the Alexandria database. Energies are from PBE.

abc: 5.2202 5.2202 5.2202
angles: 60.00 60.00 60.00
With the nearest neighbours (Å) after each atom.
Fractional positions:
Pm1 0.0000 0.0000 0.0000  4 Cu 3.20, 4 Pt 3.20
Cu1 0.2500 0.2500 0.2500  4 Ac 3.20, 4 Pm 3.20
Ac1 0.5000 0.5000 0.5000  4 Pt 3.20, 4 Cu 3.20
Pt1 0.7500 0.7500 0.7500  4 Pm 3.20, 4 Ac 3.20

Computed properties:
mass density = 10.4 Mg/m³
space-group type = F-43m


Q | Here is a relaxed AcPmCuPt crystal from the Alexandria database. Energies are from PBE.

abc: 4.0387 4.5987 5.9350
angles: 90.00 109.89 90.00
With the nearest neighbours (Å) after each atom.
Fractional positions:
Pm1 0.8661 0.5000 0.7322  3 Cu 3.05-3.29, 4 Pt 3.12
Pt1 0.4218 0.0000 0.8436  2 Cu 2.84, 4 Pm 3.12, 3 Ac 3.14-3.17
Ac1 0.1407 0.0000 0.2815  3 Pt 3.14-3.17, 4 Cu 3.16
Cu1 0.5714 0.5000 0.1428  2 Pt 2.84, 2 Pm 3.05, 4 Ac 3.16

Computed properties:
mass density = 10.1 Mg/m³
space-group type = Amm2


Energy ordering: Q at the bottom, the next structure 86 meV per atom above.


P | Here is a relaxed AcPmCuRh crystal from the Alexandria database. Energies are from PBE.

abc: 4.0386 4.5556 5.8146
angles: 90.00 110.32 90.00
With the nearest neighbours (Å) after each atom.
Fractional positions:
Ac1 0.1429 0.0000 0.2858  3 Rh 3.01-3.17, 4 Cu 3.14
Rh1 0.4186 0.0000 0.8371  2 Cu 2.82, 1 Ac 3.01, 4 Pm 3.09
Cu1 0.5708 0.5000 0.1417  2 Rh 2.82, 2 Pm 3.00, 4 Ac 3.14
Pm1 0.8677 0.5000 0.7354  3 Cu 3.00-3.24, 4 Rh 3.09

Computed properties:
mass density = 8.9 Mg/m³
space-group type = Amm2


Q | Here is a relaxed AcPmCuRh crystal from the Alexandria database. Energies are from PBE.

abc: 5.1643 5.1643 5.1643
angles: 60.00 60.00 60.00
With the nearest neighbours (Å) after each atom.
Fractional positions:
Rh1 0.2500 0.2500 0.2500  4 Pm 3.16, 4 Ac 3.16
Pm1 0.0000 0.0000 0.0000  4 Cu 3.16, 4 Rh 3.16
Ac1 0.5000 0.5000 0.5000  4 Cu 3.16, 4 Rh 3.16
Cu1 0.7500 0.7500 0.7500  4 Pm 3.16, 4 Ac 3.16

Computed properties:
mass density = 9.2 Mg/m³
space-group type = F-43m


Energy ordering: P at the bottom, the next structure 80 meV per atom above.


P | Here is a relaxed AcPmCuRu crystal from the Alexandria database. Energies are from PBE.

abc: 4.1234 4.3406 5.9206
angles: 90.00 110.38 90.00
With the nearest neighbours (Å) after each atom.
Fractional positions:
Cu1 0.5654 0.5000 0.1309  2 Ru 2.69
Ru1 0.4228 0.0000 0.8456  2 Cu 2.69
Ac1 0.1457 0.0000 0.2913  3 Ru 3.08-3.22, 4 Cu 3.12
Pm1 0.8661 0.5000 0.7322  3 Cu 3.02-3.34, 4 Ru 3.06

Computed properties:
mass density = 9.0 Mg/m³
space-group type = Amm2


Q | Here is a relaxed AcPmCuRu crystal from the Alexandria database. Energies are from PBE.

abc: 5.1284 5.1284 5.1284
angles: 60.00 60.00 60.00
With the nearest neighbours (Å) after each atom.
Fractional positions:
Ru1 0.7500 0.7500 0.7500  4 Pm 3.14, 4 Ac 3.14
Pm1 0.5000 0.5000 0.5000  4 Ru 3.14, 4 Cu 3.14
Ac1 0.0000 0.0000 0.0000  4 Ru 3.14, 4 Cu 3.14
Cu1 0.2500 0.2500 0.2500  4 Ac 3.14, 4 Pm 3.14

Computed properties:
mass density = 9.3 Mg/m³
space-group type = F-43m


Energy ordering: P at the bottom, the next structure 43 meV per atom above.


P | Here is a relaxed AcPr2Cu crystal from the Alexandria database. Energies are from PBE.

abc: 3.8569 3.8569 10.5624
angles: 79.48 79.48 60.00
With the nearest neighbours (Å) after each atom.
Fractional positions:
Ac1 0.5000 0.5000 0.5000  6 Ac 3.86, 6 Pr 3.87
Pr1 0.2688 0.2688 0.1937  3 Cu 2.99
Pr2 0.7312 0.7312 0.8063  3 Cu 2.99
Cu1 0.0000 0.0000 0.0000  6 Pr 2.99

Computed properties:
mass density = 7.1 Mg/m³
space-group type = R-3m


Q | Here is a relaxed AcPr2Cu crystal from the Alexandria database. Energies are from PBE.

abc: 6.6791 7.2966 10.6071
angles: 90.00 90.00 90.00
With the nearest neighbours (Å) after each atom.
Fractional positions:
Pr1 0.8305 0.3141 0.5575  2 Cu 2.98-3.01
Ac1 0.1407 0.9716 0.7500  2 Cu 3.11-3.17
Pr2 0.3305 0.1859 0.4425  2 Cu 2.98-3.01
Pr3 0.1695 0.6859 0.0575  2 Cu 2.98-3.01
Pr4 0.3305 0.1859 0.0575  2 Cu 2.98-3.01
Ac2 0.6407 0.5284 0.2500  2 Cu 3.11-3.17
Cu1 0.9067 0.6027 0.7500  4 Pr 2.98-3.01, 2 Ac 3.11-3.17
Pr5 0.6695 0.8141 0.5575  2 Cu 2.98-3.01
Pr6 0.6695 0.8141 0.9425  2 Cu 2.98-3.01
Pr7 0.1695 0.6859 0.4425  2 Cu 2.98-3.01
Ac3 0.3593 0.4716 0.7500  2 Cu 3.11-3.17
Cu2 0.0933 0.3973 0.2500  4 Pr 2.98-3.01, 2 Ac 3.11-3.17
Ac4 0.8593 0.0284 0.2500  2 Cu 3.11-3.17
Pr8 0.8305 0.3141 0.9425  2 Cu 2.98-3.01
Cu3 0.4067 0.8973 0.2500  4 Pr 2.98-3.01, 2 Ac 3.11-3.17
Cu4 0.5933 0.1027 0.7500  4 Pr 2.98-3.01, 2 Ac 3.11-3.17

Computed properties:
mass density = 7.4 Mg/m³
space-group type = Pnma


Energy ordering: Q at the bottom, the next structure 108 meV per atom above.


P | Here is a relaxed AcPr2Cu crystal from the Alexandria database. Energies are from PBE.

abc: 5.2008 6.6799 7.9458
angles: 90.00 90.00 112.91
With the nearest neighbours (Å) after each atom.
Fractional positions:
Pr1 0.3506 0.7017 0.9706  3 Cu 2.87-3.21
Pr2 0.6494 0.2983 0.4706  3 Cu 2.87-3.21
Ac1 0.9531 0.9059 0.2500  1 Cu 3.08
Ac2 0.0469 0.0941 0.7500  1 Cu 3.08
Pr3 0.6494 0.2983 0.0294  3 Cu 2.87-3.21
Cu1 0.2029 0.4067 0.2500  6 Pr 2.87-3.21, 1 Ac 3.08
Cu2 0.7971 0.5933 0.7500  6 Pr 2.87-3.21, 1 Ac 3.08
Pr4 0.3506 0.7017 0.5294  3 Cu 2.87-3.21

Computed properties:
mass density = 7.5 Mg/m³
space-group type = Cmcm


Q | Here is a relaxed AcPr2Cu crystal from the Alexandria database. Energies are from PBE.

abc: 3.8100 5.7490 5.7490
angles: 90.00 90.00 90.00
With the nearest neighbours (Å) after each atom.
Fractional positions:
Pr1 0.0000 0.0000 0.5000  4 Cu 3.45, 4 Ac 3.45, 2 Pr 3.81
Cu1 0.5000 0.5000 0.5000  8 Pr 3.45, 2 Cu 3.81
Ac1 0.5000 0.0000 0.0000  8 Pr 3.45, 2 Ac 3.81
Pr2 0.0000 0.5000 0.0000  4 Cu 3.45, 4 Ac 3.45, 2 Pr 3.81

Computed properties:
mass density = 7.5 Mg/m³
space-group type = P4/mmm


R | Here is a relaxed AcPr2Cu crystal from the Alexandria database. Energies are from PBE.

abc: 3.7364 3.7364 9.0978
angles: 90.00 90.00 90.00
With the nearest neighbours (Å) after each atom.
Fractional positions:
Pr1 0.0000 0.0000 0.8119  4 Cu 3.15, 1 Pr 3.42
Pr2 0.0000 0.0000 0.1881  4 Cu 3.15, 1 Pr 3.42
Cu1 0.5000 0.5000 0.0000  8 Pr 3.15
Ac1 0.5000 0.5000 0.5000  4 Ac 3.74, 8 Pr 3.88

Computed properties:
mass density = 7.5 Mg/m³
space-group type = P4/mmm


S | Here is a relaxed AcPr2Cu crystal from the Alexandria database. Energies are from PBE.

abc: 3.9322 3.9322 10.3670
angles: 79.07 79.07 60.00
With the nearest neighbours (Å) after each atom.
Fractional positions:
Cu1 0.6662 0.6662 0.0013  6 Pr 2.96-2.98
Ac1 0.5004 0.5004 0.4988  6 Pr 3.87-3.89, 6 Ac 3.93
Pr1 0.0630 0.0630 0.8111  3 Cu 2.98
Pr2 0.2704 0.2704 0.1888  3 Cu 2.96

Computed properties:
mass density = 7.0 Mg/m³
space-group type = R3m


Energy ordering: P at the bottom, the next structure 7 meV per atom above.


P | Here is a relaxed AcPrCu crystal from the Alexandria database. Energies are from PBE.

abc: 4.0279 7.4700 6.8226
angles: 75.04 72.83 74.36
With the nearest neighbours (Å) after each atom.
Fractional positions:
Ac1 0.5889 0.6231 0.1990  4 Cu 3.11-3.23
Pr1 0.8352 0.0693 0.2603  3 Cu 3.07-3.14
Pr2 0.1648 0.9307 0.7397  3 Cu 3.07-3.14
Cu1 0.8767 0.6763 0.5704  1 Cu 2.86, 3 Pr 3.07-3.14, 2 Ac 3.11
Ac2 0.4111 0.3769 0.8010  4 Cu 3.11-3.23
Cu2 0.1233 0.3237 0.4296  1 Cu 2.86, 3 Pr 3.07-3.14, 2 Ac 3.11

Computed properties:
mass density = 7.7 Mg/m³
space-group type = C2/m


Q | Here is a relaxed AcPrCu crystal from the Alexandria database. Energies are from PBE.

abc: 5.1850 5.1850 5.1850
angles: 60.00 60.00 60.00
With the nearest neighbours (Å) after each atom.
Fractional positions:
Pr1 0.5000 0.5000 0.5000  4 Cu 3.18
Ac1 0.0000 0.0000 0.0000  4 Cu 3.18
Cu1 0.2500 0.2500 0.2500  4 Ac 3.18, 4 Pr 3.18

Computed properties:
mass density = 7.3 Mg/m³
space-group type = F-43m


Energy ordering: P at the bottom, the next structure 222 meV per atom above.